VASP calculation (GGA-PBE) on a relaxed structure of AgAsPdO6.

The structure belongs to space group P-31c (No. 163); the cell edges are 5.0982, 5.0982 and 9.3837 Å and the angles 90.00°, 90.00° and 120.00°. Symmetry generates all atoms from Ag at (0.0000, 0.0000, 0.0000), As at (0.3333, 0.6667, 0.2500), Pd at (0.3333, 0.6667, 0.7500) and O at (0.0188, 0.3802, 0.1361).

The final energy is -5.221 eV/atom. For the formation energy from raw total energies, the calculation gives -0.505 eV/atom.

VASP calculation (GGA-PBE) on a relaxed structure of AgAsPdO4.

The structure belongs to space group Cmcm (No. 63); the cell edges are 6.3829, 9.2597 and 6.6589 Å and the angles 90.00°, 90.00° and 90.00°. Symmetry generates all atoms from Ag at (0.0000, 0.0000, 0.0000), As at (0.0000, 0.3807, 0.2500), Pd at (0.0000, 0.2916, 0.7500), O at (0.0000, 0.2608, 0.0494) and O at (0.2123, 0.4999, 0.2500).

The final energy is -5.194 eV/atom. For the formation energy from raw total energies, the calculation gives -0.547 eV/atom.

The lowest final energy belongs to which entry?
AgAsPdO6

The highest formation energy from raw total energies belongs to which entry?
AgAsPdO6

Number 1 is which compound?
AgAsPdO6